First-principles (PBE) data for a geometry-optimized Rb4SCl2 structure, as listed in Alexandria via LeMat-Bulk.

Cell: 9.775 9.775 13.794 Å, 90.00 90.00 90.00°
Atoms (fractional coordinates):
Rb1 0.239 0.520 0.509
Rb2 0.480 0.761 0.741
Rb3 0.520 0.761 0.259
Rb4 0.520 0.239 0.241
Rb5 0.761 0.971 0.484
Rb6 0.239 0.480 0.991
Rb7 0.761 0.029 0.016
Rb8 0.971 0.239 0.234
Rb9 0.029 0.761 0.734
Rb10 0.029 0.239 0.766
Rb11 0.239 0.971 0.516
Rb12 0.761 0.520 0.491
Rb13 0.971 0.761 0.266
Rb14 0.239 0.029 0.984
Rb15 0.480 0.239 0.759
Rb16 0.761 0.480 0.009
S1 0.261 0.000 0.750
S2 0.000 0.261 0.000
S3 0.000 0.739 0.500
S4 0.739 0.000 0.250
Cl1 0.500 0.265 0.000
Cl2 0.247 0.247 0.375
Cl3 0.753 0.753 0.875
Cl4 0.500 0.735 0.500
Cl5 0.247 0.753 0.125
Cl6 0.753 0.247 0.625
Cl7 0.735 0.500 0.250
Cl8 0.265 0.500 0.750

Properties
Relative energy among the computed polymorphs = 0 meV per atom
ΔE_f (raw) = -1486 meV per atom
Magnetic moment = 0.081 μB/f.u.

First-principles (PBE) data for a geometry-optimized FeTcNiH2 structure, as listed in Alexandria via LeMat-Bulk.

Cell: 3.391 4.558 3.391 Å, 90.00 90.00 90.00°
Site moments in Bohr magnetons follow the coordinates.
Atoms (fractional coordinates):
Ni1 0.000 0.500 0.000  0.77
H1 0.500 0.000 0.000  -0.03
H2 0.000 0.000 0.500  -0.04
Tc1 0.500 0.500 0.500  1.94
Fe1 0.000 0.000 0.000  2.34

Properties
Magnetic moment = 5.105 μB/f.u.
E = -27.29 eV/cell
D(E_F) = 4.4 states/eV per cell